(1)
# Nd4GaSiBr2

An optimized crystal structure of Nd4GaSiBr2 (PBE, Alexandria via LeMat-Bulk).

Geometry as extended XYZ:
```
8
Lattice="4.276 0.000 0.000 0.000 7.507 0.144 0.000 -2.613 7.200" Properties=species:S:1:pos:R:3 pbc="T T T"
Nd 2.138 1.214 1.587
Nd 2.138 3.681 5.757
Nd 0.000 -0.114 5.654
Nd 0.000 5.009 1.691
Ga 2.138 3.754 0.072
Si 0.000 0.000 0.000
Br 2.138 -1.306 3.600
Br 0.000 2.447 3.672
```

Output
Total magnetization (μB per cell): 0.0
Symmetry: P2/m (10)
Total energy (eV per atom): -4.84
Crystal system: monoclinic

***

(2)
# NdGaSn2Br8

An optimized crystal structure of NdGaSn2Br8 (PBE, Alexandria via LeMat-Bulk).

Geometry as extended XYZ:
```
12
Lattice="-1.693 -2.762 6.455 1.986 -6.263 -2.036 8.313 1.696 2.901" Properties=species:S:1:pos:R:3 pbc="T T T"
Nd 0.000 0.000 0.000
Ga 4.157 0.848 1.451
Sn 6.320 -3.255 4.365
Sn 2.286 -4.075 2.955
Br 3.215 -4.814 0.171
Br 8.665 -4.882 5.716
Br 1.023 -3.404 5.623
Br 5.392 -2.516 7.149
Br -0.059 -2.447 1.604
Br 7.583 -3.926 1.697
Br 4.496 -5.501 4.189
Br 4.111 -1.829 3.131
```

Output
Total magnetization (μB per cell): 0.0
Symmetry: P2/m (10)
Total energy (eV per atom): -3.51
Crystal system: monoclinic